Entry 1:
A plane-wave DFT calculation with GGA-PBE was carried out for crystalline NaCeSb2Au2 at its relaxed geometry.

The structure in extended XYZ format:
```
6
Lattice="-1.2133 3.4099 3.0040 -2.6864 -0.8902 -3.7569 -4.3607 -5.4325 4.4053" Properties=species:S:1:pos:R:3 pbc="T T T"
Sb -5.0206 -2.1549 4.1006
Au -5.5349 -3.6172 1.8705
Na -2.1803 -2.7162 2.2027
Ce 0.0000 0.0000 0.0000
Sb -3.2397 -0.7579 -0.4482
Au -2.7254 0.7045 1.7819
```

Calculated values
Total moment in μB/cell: 0.97
E_form (uncorrected) in meV/atom: -615
SG: P-3m1 (164)

=====

Entry 2:
A plane-wave DFT calculation with GGA-PBE was carried out for crystalline AcPm2NdDy at its relaxed geometry.

The structure in extended XYZ format:
```
10
Lattice="-1.7009 4.3042 5.7539 -7.1919 -4.1508 0.9791 6.3887 -1.8722 3.2889" Properties=species:S:1:pos:R:3 pbc="T T T"
Pm -3.0419 0.8873 3.1753
Pm -5.0004 -2.8860 0.6807
Ac -2.5838 -3.0311 3.8727
Ac 0.0798 1.3122 6.1493
Dy -3.7944 -0.3699 6.2624
Pm -5.8509 -0.7339 3.5577
Nd -2.4068 -2.3314 8.1398
Dy 1.2903 -1.3489 3.7596
Nd -0.0973 0.6126 1.8821
Pm -2.1915 -1.2648 0.2983
```

Calculated values
E_form in meV per atom: 339
Total moment in μB/cell: 0.00
SG: Cmcm (63)

=====

Entry 3:
A plane-wave DFT calculation with GGA-PBE was carried out for crystalline Gd2BiBr at its relaxed geometry.

The structure in extended XYZ format:
```
4
Lattice="5.4163 0.0000 0.0000 2.7081 4.6906 0.0000 2.7081 1.5635 4.4224" Properties=species:S:1:pos:R:3 pbc="T T T"
Br 5.4163 3.1271 2.2112
Gd 8.1244 4.6906 3.3168
Bi 0.0000 0.0000 0.0000
Gd 2.7081 1.5635 1.1056
```

Calculated values
Total moment in μB/cell: 15.43
E_form (uncorrected) in meV/atom: -939
SG: Fm-3m (225)

=====

Entry 4:
A plane-wave DFT calculation with GGA-PBE was carried out for crystalline La2NdZn at its relaxed geometry.

The structure in extended XYZ format:
```
4
Lattice="-4.7475 -0.0993 -2.9229 -1.7347 -4.7549 -2.3396 -4.4714 -2.6388 2.0336" Properties=species:S:1:pos:R:3 pbc="T T T"
La -2.7384 -1.8733 -0.8072
La -8.2152 -5.6198 -2.4217
Zn -5.4768 -3.7465 -1.6145
Nd 0.0000 0.0000 0.0000
```

Calculated values
E_form in meV per atom: 35
Total moment in μB/cell: 0.00
SG: Fm-3m (225)

=====

Entry 5:
A plane-wave DFT calculation with GGA-PBE was carried out for crystalline Li3Cd2Ge2Au4 at its relaxed geometry.

The structure in extended XYZ format:
```
11
Lattice="-1.7622 -2.2846 3.4119 0.8946 -2.0763 -3.8541 11.3080 -2.6614 4.0584" Properties=species:S:1:pos:R:3 pbc="T T T"
Ge 1.4273 -2.4795 -0.9231
Cd 6.4895 -3.6710 0.8937
Li 2.7550 -0.6484 0.9888
Cd 3.9509 -3.3513 2.7225
Au 9.9767 -4.4917 2.1453
Li 0.0000 0.0000 0.0000
Au 0.4637 -2.5306 1.4709
Ge 9.0131 -4.5428 4.5393
Au 6.6245 -3.9806 3.6820
Li 8.5530 -2.0130 3.0697
Au 3.8159 -3.0417 -0.0658
```

Calculated values
E_form in meV per atom: -333
Total moment in μB/cell: 0.00
SG: P-3m1 (164)

=====

Entry 6:
A plane-wave DFT calculation with GGA-PBE was carried out for crystalline CsPCBr at its relaxed geometry.

The structure in extended XYZ format:
```
8
Lattice="-2.3669 2.3648 -0.0379 -2.4768 -2.3973 5.0974 6.3607 6.2840 6.0460" Properties=species:S:1:pos:R:3 pbc="T T T"
C -0.6482 2.2997 0.7666
P 1.0174 1.6066 1.2499
Br 0.1193 3.0460 5.2047
Br 4.5380 7.3867 5.6790
P 2.9593 3.5500 6.8216
Cs 3.1899 3.7160 3.2976
Cs -1.2288 -0.6246 2.8233
C 1.2937 4.2430 6.3383
```

Calculated values
Total moment in μB/cell: 0.00
E_form (uncorrected) in meV/atom: 288
SG: Cm (8)

=====

Entry 7:
A plane-wave DFT calculation with GGA-PBE was carried out for crystalline Rb2HfTe2 at its relaxed geometry.

The structure in extended XYZ format:
```
10
Lattice="7.9539 0.0000 0.0000 0.0000 7.9539 0.0000 0.0000 0.0000 5.9134" Properties=species:S:1:pos:R:3 pbc="T T T"
Hf 3.9770 3.9770 0.0000
Hf 0.0000 0.0000 0.0000
Rb 6.7401 2.7631 2.9567
Rb 2.7631 1.2138 2.9567
Rb 5.1908 6.7401 2.9567
Te 2.5746 6.5515 0.0000
Rb 1.2138 5.1908 2.9567
Te 1.4024 2.5746 0.0000
Te 6.5515 5.3794 0.0000
Te 5.3794 1.4024 0.0000
```

Calculated values
Total moment in μB/cell: 3.43
E_form (uncorrected) in meV/atom: -446
SG: P4/mbm (127)

=====

Entry 8:
A plane-wave DFT calculation with GGA-PBE was carried out for crystalline Sr2Zn5Pd4 at its relaxed geometry.

The structure in extended XYZ format:
```
11
Lattice="-3.8092 3.4141 -2.2541 -4.6122 -2.1805 -2.4398 -5.7865 2.0302 5.9223" Properties=species:S:1:pos:R:3 pbc="T T T"
Zn -8.0562 2.4855 0.0506
Zn -1.9046 1.7071 -1.1271
Pd -7.5913 2.3965 2.5959
Sr -4.6630 1.9367 3.8821
Pd -6.6166 0.8673 -1.3675
Sr -4.9327 3.5077 -0.2140
Zn -6.1516 0.7784 1.1777
Zn -4.2107 0.6168 -2.3470
Pd -3.7587 0.5290 0.2217
Pd -10.4492 2.7349 1.0066
Zn -2.3061 -1.0903 -1.2199
```

Calculated values
E_form in meV per atom: -538
Total moment in μB/cell: 0.00
SG: Fmmm (69)

=====

Entry 9:
A plane-wave DFT calculation with GGA-PBE was carried out for crystalline CrSnSe2 at its relaxed geometry.

The structure in extended XYZ format:
```
16
Lattice="14.2478 0.0000 1.6454 0.0000 4.8901 0.0000 -4.6757 0.0000 4.0090" Properties=species:S:1:pos:R:3 pbc="T T T"
Cr 3.6833 4.3318 3.2963
Se 8.1401 4.2482 1.7888
Cr 13.1450 3.0033 2.1145
Se 5.1914 3.1881 1.7540
Se 4.3807 1.7020 3.9003
Se 9.9775 4.1470 4.5812
Se 1.4320 0.6419 3.8656
Se -1.3216 3.0869 2.9706
Se -0.4054 0.7430 1.0732
Sn 1.5788 2.9005 2.1599
Se 10.8937 1.8032 2.6838
Sn 3.2072 0.4554 0.6673
Sn 7.9933 1.9896 3.4945
Cr -3.5729 1.8868 3.5399
Cr 5.8889 0.5582 2.3581
Sn 6.3649 4.4346 4.9870
```

Calculated values
Total moment in μB/cell: 0.00
E_form (uncorrected) in meV/atom: -22
SG: P2_1/c (14)

=====

Entry 10:
A plane-wave DFT calculation with GGA-PBE was carried out for crystalline Mg6ZrNi at its relaxed geometry.

The structure in extended XYZ format:
```
8
Lattice="-2.0032 4.5491 -3.9648 -2.6002 -5.7990 0.1905 -3.1408 1.5176 3.3281" Properties=species:S:1:pos:R:3 pbc="T T T"
Zr -2.4851 -3.8038 -0.6107
Mg -1.2184 -1.0831 -0.6559
Mg -2.2028 1.0889 -2.5753
Ni -3.9856 -1.8338 0.5670
Mg -2.6473 1.2604 0.4190
Mg -3.6790 3.4816 -1.5674
Mg -3.4732 -1.6954 -2.5046
Mg -5.0038 0.6205 -1.5130
```

Calculated values
E_form in meV per atom: 40
Total moment in μB/cell: 0.00
SG: Amm2 (38)

=====

Entry 11:
A plane-wave DFT calculation with GGA-PBE was carried out for crystalline Hf2Ga2Rh at its relaxed geometry.

The structure in extended XYZ format:
```
5
Lattice="3.6870 0.0000 0.0000 1.8435 5.0501 0.2212 1.8435 1.5655 4.8064" Properties=species:S:1:pos:R:3 pbc="T T T"
Hf 1.8435 1.8369 1.3960
Hf 5.5305 4.7786 3.6316
Ga 3.6870 4.0456 1.5430
Rh 0.0000 0.0000 0.0000
Ga 3.6870 2.5700 3.4846
```

Calculated values
E_form in meV per atom: -596
Total moment in μB/cell: 0.00
SG: Immm (71)

=====

Entry 12:
A plane-wave DFT calculation with GGA-PBE was carried out for crystalline MgPt2Rh at its relaxed geometry.

The structure in extended XYZ format:
```
4
Lattice="-4.2460 0.4888 2.2654 -4.8084 -0.3831 -0.3635 -0.5914 -4.4605 1.6058" Properties=species:S:1:pos:R:3 pbc="T T T"
Pt -0.5897 -4.4441 1.6000
Pt -4.8246 -2.1938 1.7596
Rh -7.2343 -3.2661 2.6307
Mg -2.4114 -1.0887 0.8769
```

Calculated values
E_form in meV per atom: -398
Total moment in μB/cell: 0.00
SG: C2/m (12)

=====

Entry 13:
A plane-wave DFT calculation with GGA-PBE was carried out for crystalline Mg2SiGeRh at its relaxed geometry.

The structure in extended XYZ format:
```
5
Lattice="-2.7493 -0.1738 -3.9955 3.6935 -1.3047 -2.4847 -1.0306 -4.6540 0.9117" Properties=species:S:1:pos:R:3 pbc="T T T"
Mg -1.3747 -0.0869 -1.9978
Ge 1.8468 -0.6523 -1.2424
Mg -0.5153 -2.3270 0.4558
Si 0.0000 0.0000 0.0000
Rh -0.0432 -3.0663 -2.7843
```

Calculated values
Total moment in μB/cell: 0.00
E_form (uncorrected) in meV/atom: 674
SG: P4/mmm (123)

=====

Entry 14:
A plane-wave DFT calculation with GGA-PBE was carried out for crystalline Zn2Ag7Hg at its relaxed geometry.

The structure in extended XYZ format:
```
10
Lattice="4.6632 0.0000 0.0000 0.0000 7.4905 -0.2348 0.0000 -3.5151 6.6187" Properties=species:S:1:pos:R:3 pbc="T T T"
Ag 2.3316 4.5167 4.4148
Ag 2.3316 1.9695 6.0010
Hg 0.0000 0.0000 0.0000
Ag 0.0000 -1.1523 5.1473
Zn 2.3316 4.1889 1.8212
Zn 2.3316 -0.2135 4.5627
Ag 0.0000 5.1277 1.2366
Ag 2.3316 1.9877 3.1919
Ag 2.3316 -0.5413 1.9691
Ag 2.3316 2.0059 0.3829
```

Calculated values
E_form in meV per atom: 251
Total moment in μB/cell: 0.00
SG: Cmmm (65)

=====

Entry 15:
A plane-wave DFT calculation with GGA-PBE was carried out for crystalline DyBiRh at its relaxed geometry.

The structure in extended XYZ format:
```
3
Lattice="-3.1902 -1.4887 -1.4557 1.4073 -3.5046 0.4998 -1.0834 2.3431 4.9626" Properties=species:S:1:pos:R:3 pbc="T T T"
Rh -2.7841 -2.6437 3.8201
Bi -1.1060 -0.0860 2.5117
Dy -1.2499 -2.5245 0.3361
```

Calculated values
E_form in meV per atom: -448
Total moment in μB/cell: 0.00
SG: I4mm (107)